Dy3In3Hg after structural relaxation. Source: Alexandria via LeMat-Bulk, functional PBE-GGA.

Geometry as POSCAR:
```
Dy3In3Hg
1.0
4.616 0.000 0.695
2.266 5.670 0.624
0.179 0.261 14.479
In Dy Hg
6 6 2
direct
0.119 0.837 0.926
0.007 0.212 0.774
0.993 0.788 0.226
0.135 0.270 0.461
0.881 0.163 0.074
0.865 0.730 0.539
0.272 0.235 0.221
0.473 0.678 0.376
0.527 0.322 0.624
0.397 0.282 0.924
0.603 0.718 0.076
0.728 0.765 0.779
0.760 0.106 0.374
0.240 0.894 0.626
```

## Properties
- ΔE_f (eV/atom) = -0.4161
- volume (A^3/atom) = 27.0